No. 1
LaCoHg2: optimized geometry, PBE.

```
LaCoHg2
1.0
-2.2234 2.2234 4.5977
2.2234 -2.2234 4.5977
2.2234 2.2234 -4.5977
La Co Hg
1 1 2
direct
0.0000 0.0000 0.0000 La
0.5000 0.5000 0.0000 Co
0.2500 0.7500 0.5000 Hg
0.7500 0.2500 0.5000 Hg
```

Formation energy (eV/atom): -0.003
Space group: I4/mmm, No. 139
Total magnetization (μB per atom): 0.2018
Raw total energy (eV per atom): -3.163

=====

No. 2
BaZr2TaTl: optimized geometry, PBE.

```
BaZr2TaTl
1.0
5.2543 0.0000 0.0000
0.0000 5.2543 0.0000
0.0000 0.0000 5.7007
Ba Zr Ta Tl
1 2 1 1
direct
0.0000 0.0000 0.0000 Ba
0.0000 0.5000 0.0000 Zr
0.5000 0.0000 0.0000 Zr
0.5000 0.5000 0.5000 Ta
0.0000 0.0000 0.5000 Tl
```

Formation energy (eV/atom): 2.351
Space group: P4/mmm, No. 123
Total magnetization (μB per atom): 0.0000
Raw total energy (eV per atom): -4.296

=====

Q: What is the total magnetization in the first record?
A: 0.2018 μB per atom